1.
This record from Alexandria via LeMat-Bulk describes Pa2Co12NiB3 after structural relaxation. The functional is GGA-PBE.

Unit cell a=6.6105 b=6.6105 c=6.6105 alpha=63.51 beta=63.51 gamma=63.51
Last column: nearest neighbours and their distance in Å.
Sites, in units of the cell vectors:
Pa: 0.0973 0.0973 0.0973  6 Co 2.42-2.60
Pa: 0.9027 0.9027 0.9027  6 Co 2.42-2.60
Co: 0.0665 0.6529 0.6529  1 B 1.99
Co: 0.2327 0.2327 0.6364  2 B 1.92
Co: 0.2327 0.6364 0.2327  2 B 1.92
Co: 0.3471 0.3471 0.9335  1 B 1.99
Co: 0.3471 0.9335 0.3471  1 B 1.99
Co: 0.3636 0.7673 0.7673  2 B 1.92
Co: 0.6364 0.2327 0.2327  2 B 1.92
Co: 0.6529 0.0665 0.6529  1 B 1.99
Co: 0.6529 0.6529 0.0665  1 B 1.99
Co: 0.7673 0.3636 0.7673  2 B 1.92
Co: 0.7673 0.7673 0.3636  2 B 1.92
Co: 0.9335 0.3471 0.3471  1 B 1.99
Ni: 0.5000 0.5000 0.5000  12 Co 2.45-2.65
B: 0.0000 0.5000 0.5000  6 Co 1.92-1.99
B: 0.5000 0.0000 0.5000  6 Co 1.92-1.99
B: 0.5000 0.5000 0.0000  6 Co 1.92-1.99

**Uncorrected energy**: -7.1598 eV/atom
**Calculated density**: 9.51 g/cm³


2.
This record from Alexandria via LeMat-Bulk describes PaCo2NiB2 after structural relaxation. The functional is GGA-PBE.

Unit cell a=3.7825 b=3.7825 c=5.0877 alpha=90.00 beta=90.00 gamma=90.00
Last column: nearest neighbours and their distance in Å.
Sites, in units of the cell vectors:
Pa: 0.0000 0.0000 0.0000  2 Ni 2.54
Co: 0.5000 0.5000 0.2632  4 B 2.24, 1 Co 2.41
Co: 0.5000 0.5000 0.7368  4 B 2.24, 1 Co 2.41
Ni: 0.0000 0.0000 0.5000  4 B 1.89
B: 0.0000 0.5000 0.5000  2 Ni 1.89
B: 0.5000 0.0000 0.5000  2 Ni 1.89

**Uncorrected energy**: -7.1322 eV/atom
**Calculated density**: 9.79 g/cm³


3.
This record from Alexandria via LeMat-Bulk describes Pa2Co4Ni2B after structural relaxation. The functional is GGA-PBE.

Unit cell a=5.4707 b=5.4707 c=5.4707 alpha=118.67 beta=118.67 gamma=92.31
Last column: nearest neighbours and their distance in Å.
Sites, in units of the cell vectors:
Pa: 0.2500 0.7500 0.5000  8 Co 2.74, 4 Ni 2.79
Pa: 0.7500 0.2500 0.5000  8 Co 2.74, 4 Ni 2.79
Co: 0.2438 0.2438 0.4877  1 B 2.02
Co: 0.2438 0.7562 0.0000  1 B 2.02
Co: 0.7562 0.2438 0.0000  1 B 2.02
Co: 0.7562 0.7562 0.5123  1 B 2.02
Ni: 0.2328 0.2328 0.0000  1 B 2.03
Ni: 0.7672 0.7672 0.0000  1 B 2.03
B: 0.5000 0.5000 0.0000  4 Co 2.02, 2 Ni 2.03

**Uncorrected energy**: -7.7270 eV/atom
**Calculated density**: 11.62 g/cm³


4.
This record from Alexandria via LeMat-Bulk describes PmCoNiB2 after structural relaxation. The functional is GGA-PBE.

Unit cell a=5.6659 b=5.6659 c=5.6659 alpha=143.83 beta=143.83 gamma=52.08
Last column: nearest neighbours and their distance in Å.
Sites, in units of the cell vectors:
Pm: 0.0000 0.0000 0.0000  8 B 2.94, 4 Co 3.09, 4 Ni 3.09
Co: 0.7500 0.2500 0.5000  4 B 2.02
Ni: 0.2500 0.7500 0.5000  4 B 2.02
B: 0.3470 0.3470 0.0000  2 Co 2.02, 2 Ni 2.02
B: 0.6530 0.6530 0.0000  2 Co 2.02, 2 Ni 2.02

**Uncorrected energy**: -6.6465 eV/atom
**Calculated density**: 7.49 g/cm³


5.
This record from Alexandria via LeMat-Bulk describes Pm2Co3NiB12 after structural relaxation. The functional is GGA-PBE.

Unit cell a=8.1189 b=8.1189 c=8.1189 alpha=38.54 beta=38.54 gamma=38.54
Last column: nearest neighbours and their distance in Å.
Sites, in units of the cell vectors:
Pm: 0.1402 0.1402 0.1402  12 B 2.62-2.93
Pm: 0.8598 0.8598 0.8598  12 B 2.62-2.93
Co: 0.0000 0.5000 0.5000  6 B 2.10-2.11
Co: 0.5000 0.0000 0.5000  6 B 2.10-2.11
Co: 0.5000 0.5000 0.0000  6 B 2.10-2.11
Ni: 0.5000 0.5000 0.5000  6 B 2.03
B: 0.1563 0.1563 0.4723  4 B 1.69-1.77
B: 0.1563 0.4723 0.1563  4 B 1.69-1.77
B: 0.1841 0.5447 0.5447  4 B 1.77-1.93
B: 0.4553 0.4553 0.8159  4 B 1.77-1.93
B: 0.4553 0.8159 0.4553  4 B 1.77-1.93
B: 0.4723 0.1563 0.1563  4 B 1.69-1.77
B: 0.5277 0.8437 0.8437  4 B 1.69-1.77
B: 0.5447 0.1841 0.5447  4 B 1.77-1.93
B: 0.5447 0.5447 0.1841  4 B 1.77-1.93
B: 0.8159 0.4553 0.4553  4 B 1.77-1.93
B: 0.8437 0.5277 0.8437  4 B 1.69-1.77
B: 0.8437 0.8437 0.5277  4 B 1.69-1.77

**Uncorrected energy**: -6.4875 eV/atom
**Calculated density**: 5.83 g/cm³


6.
This record from Alexandria via LeMat-Bulk describes Pu2Co5NiB2 after structural relaxation. The functional is GGA-PBE.

Unit cell a=8.7247 b=8.7247 c=3.1851 alpha=90.00 beta=90.00 gamma=90.00
Last column: nearest neighbours and their distance in Å.
Sites, in units of the cell vectors:
Pu: 0.1814 0.3186 0.0000  3 B 2.51-2.65, 6 Co 2.73-2.75
Pu: 0.3186 0.8186 0.0000  3 B 2.51-2.65, 6 Co 2.73-2.75
Pu: 0.6814 0.1814 0.0000  3 B 2.51-2.65, 6 Co 2.73-2.75
Pu: 0.8186 0.6814 0.0000  3 B 2.51-2.65, 6 Co 2.73-2.75
Co: 0.0000 0.5000 0.5000  4 B 2.13
Co: 0.0682 0.7756 0.5000  2 B 2.16
Co: 0.2244 0.0682 0.5000  2 B 2.16
Co: 0.2756 0.5682 0.5000  2 B 2.16
Co: 0.4318 0.2756 0.5000  2 B 2.16
Co: 0.5000 0.0000 0.5000  4 B 2.13
Co: 0.5682 0.7244 0.5000  2 B 2.16
Co: 0.7244 0.4318 0.5000  2 B 2.16
Co: 0.7756 0.9318 0.5000  2 B 2.16
Co: 0.9318 0.2244 0.5000  2 B 2.16
Ni: 0.0000 0.0000 0.0000  8 Co 2.59
Ni: 0.5000 0.5000 0.0000  8 Co 2.59
B: 0.1150 0.6150 0.0000  6 Co 2.13-2.16
B: 0.3850 0.1150 0.0000  6 Co 2.13-2.16
B: 0.6150 0.8850 0.0000  6 Co 2.13-2.16
B: 0.8850 0.3850 0.0000  6 Co 2.13-2.16

**Uncorrected energy**: -8.4628 eV/atom
**Calculated density**: 11.82 g/cm³


7.
This record from Alexandria via LeMat-Bulk describes ScCo2NiB after structural relaxation. The functional is GGA-PBE.

Unit cell a=3.8736 b=3.8736 c=3.8551 alpha=90.00 beta=90.00 gamma=90.00
Last column: nearest neighbours and their distance in Å.
Sites, in units of the cell vectors:
Sc: 0.0000 0.0000 0.0000  8 Co 2.73, 4 Ni 2.74
Co: 0.0000 0.5000 0.5000  2 B 1.94
Co: 0.5000 0.0000 0.5000  2 B 1.94
Ni: 0.5000 0.5000 0.0000  2 B 1.93
B: 0.5000 0.5000 0.5000  2 Ni 1.93, 4 Co 1.94

**Uncorrected energy**: -7.0325 eV/atom
**Calculated density**: 6.67 g/cm³


8.
This record from Alexandria via LeMat-Bulk describes Co2NiSnB after structural relaxation. The functional is GGA-PBE.

Unit cell a=3.8760 b=3.8760 c=3.9080 alpha=90.00 beta=90.00 gamma=90.00
Last column: nearest neighbours and their distance in Å.
Sites, in units of the cell vectors:
Co: 0.0000 0.5000 0.0000  2 B 1.94
Co: 0.5000 0.0000 0.0000  2 B 1.94
Ni: 0.0000 0.0000 0.5000  2 B 1.95
Sn: 0.5000 0.5000 0.5000  4 Ni 2.74, 8 Co 2.75
B: 0.0000 0.0000 0.0000  4 Co 1.94, 2 Ni 1.95

**Uncorrected energy**: -6.2772 eV/atom
**Calculated density**: 8.66 g/cm³


9.
This record from Alexandria via LeMat-Bulk describes CoNi2SnB after structural relaxation. The functional is GGA-PBE.

Unit cell a=3.9133 b=3.9133 c=3.8906 alpha=90.00 beta=90.00 gamma=90.00
Last column: nearest neighbours and their distance in Å.
Sites, in units of the cell vectors:
Co: 0.0000 0.0000 0.0000  2 B 1.95
Ni: 0.0000 0.5000 0.5000  2 B 1.96
Ni: 0.5000 0.0000 0.5000  2 B 1.96
Sn: 0.5000 0.5000 0.0000  8 Ni 2.76, 4 Co 2.77
B: 0.0000 0.0000 0.5000  2 Co 1.95, 4 Ni 1.96

**Uncorrected energy**: -6.0223 eV/atom
**Calculated density**: 8.52 g/cm³


10.
This record from Alexandria via LeMat-Bulk describes TbCoNiB2 after structural relaxation. The functional is GGA-PBE.

Unit cell a=5.4506 b=5.4506 c=5.4506 alpha=142.50 beta=142.50 gamma=54.07
Last column: nearest neighbours and their distance in Å.
Sites, in units of the cell vectors:
Tb: 0.0000 0.0000 0.0000  8 B 2.84, 4 Co 2.99, 4 Ni 2.99
Co: 0.7500 0.2500 0.5000  4 B 2.03
Ni: 0.2500 0.7500 0.5000  4 B 2.03
B: 0.3564 0.3564 0.0000  2 Co 2.03, 2 Ni 2.03
B: 0.6436 0.6436 0.0000  2 Co 2.03, 2 Ni 2.03

**Uncorrected energy**: -6.6686 eV/atom
**Calculated density**: 8.31 g/cm³


11.
This record from Alexandria via LeMat-Bulk describes Th2Co3NiB12 after structural relaxation. The functional is GGA-PBE.

Unit cell a=8.0201 b=8.0201 c=8.0201 alpha=39.89 beta=39.89 gamma=39.89
Last column: nearest neighbours and their distance in Å.
Sites, in units of the cell vectors:
Th: 0.1380 0.1380 0.1380  6 B 2.62-2.91
Th: 0.8620 0.8620 0.8620  6 B 2.62-2.91
Co: 0.0000 0.5000 0.5000  6 B 2.08-2.10
Co: 0.5000 0.0000 0.5000  6 B 2.08-2.10
Co: 0.5000 0.5000 0.0000  6 B 2.08-2.10
Ni: 0.5000 0.5000 0.5000  6 B 2.02
B: 0.1572 0.1572 0.4703  4 B 1.71-1.77
B: 0.1572 0.4703 0.1572  4 B 1.71-1.77
B: 0.1755 0.5511 0.5511  2 B 1.77
B: 0.4489 0.4489 0.8245  2 B 1.77
B: 0.4489 0.8245 0.4489  2 B 1.77
B: 0.4703 0.1572 0.1572  4 B 1.71-1.77
B: 0.5297 0.8428 0.8428  4 B 1.71-1.77
B: 0.5511 0.1755 0.5511  2 B 1.77
B: 0.5511 0.5511 0.1755  2 B 1.77
B: 0.8245 0.4489 0.4489  2 B 1.77
B: 0.8428 0.5297 0.8428  4 B 1.71-1.77
B: 0.8428 0.8428 0.5297  4 B 1.71-1.77

**Uncorrected energy**: -6.7972 eV/atom
**Calculated density**: 7.21 g/cm³


12.
This record from Alexandria via LeMat-Bulk describes TiCoNiB2 after structural relaxation. The functional is GGA-PBE.

Unit cell a=3.6827 b=3.6827 c=4.5040 alpha=90.00 beta=90.00 gamma=90.00
Last column: nearest neighbours and their distance in Å.
Sites, in units of the cell vectors:
Ti: 0.0000 0.0000 0.0000  2 Ni 2.25
Co: 0.5000 0.5000 0.0000  4 Ti 2.60, 8 B 2.91
Ni: 0.0000 0.0000 0.5000  4 B 1.84
B: 0.0000 0.5000 0.5000  2 Ni 1.84
B: 0.5000 0.0000 0.5000  2 Ni 1.84

**Uncorrected energy**: -6.0440 eV/atom
**Calculated density**: 5.09 g/cm³


Number 1: DOS at the Fermi energy 25.026 states/eV/cell. Number 2: DOS at the Fermi energy 4.567 states/eV/cell. Number 3: DOS at the Fermi energy 7.718 states/eV/cell. Number 4: DOS at the Fermi energy 2.338 states/eV/cell. Number 5: DOS at the Fermi energy 10.745 states/eV/cell. Number 6: DOS at the Fermi energy 44.620 states/eV/cell. Number 7: DOS at the Fermi energy 1.137 states/eV/cell. Number 8: DOS at the Fermi energy 3.621 states/eV/cell. Number 9: DOS at the Fermi energy 3.965 states/eV/cell. Number 10: DOS at the Fermi energy 2.748 states/eV/cell. Number 11: DOS at the Fermi energy 10.922 states/eV/cell. Number 12: DOS at the Fermi energy 4.397 states/eV/cell.